# 1
{
  "formula": "Nd6Cd3Co",
  "functional": "GGA-PBE",
  "state": "optimized geometry",
  "lattice_angstrom": [[-0.179, 2.543, 4.940], [-8.378, 3.310, -2.008], [-4.746, -9.440, 4.242]],
  "species": ["Cd", "Cd", "Cd", "Cd", "Cd", "Cd", "Co", "Co", "Nd", "Nd", "Nd", "Nd", "Nd", "Nd", "Nd", "Nd", "Nd", "Nd", "Nd", "Nd"],
  "fractional_positions": [[0.000, 0.000, 0.500], [0.500, 0.500, 0.000], [0.038, 0.642, 0.233], [0.462, 0.142, 0.267], [0.538, 0.858, 0.733], [0.962, 0.358, 0.767], [0.000, 0.000, 0.000], [0.500, 0.500, 0.500], [0.032, 0.308, 0.074], [0.457, 0.519, 0.729], [0.543, 0.481, 0.271], [0.551, 0.151, 0.929], [0.051, 0.349, 0.429], [0.957, 0.981, 0.229], [0.449, 0.849, 0.071], [0.532, 0.192, 0.574], [0.949, 0.651, 0.571], [0.968, 0.692, 0.926], [0.468, 0.808, 0.426], [0.043, 0.019, 0.771]],
  "total_energy_ev_per_atom": -3.9717
}

# 2
{
  "formula": "Nd2CdCo",
  "functional": "GGA-PBE",
  "state": "optimized geometry",
  "lattice_angstrom": [[-3.708, -0.359, -0.793], [1.997, -6.368, 2.688], [-1.772, 3.117, 6.877]],
  "species": ["Nd", "Nd", "Nd", "Nd", "Cd", "Cd", "Co", "Co"],
  "fractional_positions": [[0.772, 0.543, 0.306], [0.961, 0.922, 0.708], [0.039, 0.078, 0.292], [0.228, 0.457, 0.694], [0.613, 0.226, 0.954], [0.387, 0.774, 0.046], [0.404, 0.807, 0.427], [0.596, 0.193, 0.573]],
  "total_energy_ev_per_atom": -4.5791
}

# 3
{
  "formula": "Nd5Cd2Co2",
  "functional": "GGA-PBE",
  "state": "optimized geometry",
  "lattice_angstrom": [[-2.435, 6.221, 3.303], [1.431, -3.139, 6.966], [6.497, 6.226, 1.471]],
  "species": ["Co", "Co", "Co", "Co", "Nd", "Nd", "Nd", "Nd", "Nd", "Nd", "Nd", "Nd", "Nd", "Nd", "Cd", "Cd", "Cd", "Cd"],
  "fractional_positions": [[0.892, 0.611, 0.000], [0.108, 0.389, 0.000], [0.392, 0.889, 0.000], [0.608, 0.111, 0.000], [0.300, 0.686, 0.764], [0.000, 0.000, 0.000], [0.700, 0.314, 0.236], [0.200, 0.186, 0.236], [0.065, 0.686, 0.236], [0.500, 0.500, 0.000], [0.935, 0.314, 0.764], [0.800, 0.814, 0.764], [0.565, 0.814, 0.236], [0.435, 0.186, 0.764], [0.223, 0.000, 0.553], [0.277, 0.500, 0.447], [0.777, 0.000, 0.447], [0.723, 0.500, 0.553]],
  "total_energy_ev_per_atom": -4.5602
}

# 4
{
  "formula": "Nd8CdCo2",
  "functional": "GGA-PBE",
  "state": "optimized geometry",
  "lattice_angstrom": [[-3.418, -4.365, -0.907], [2.225, -1.980, 7.572], [-5.599, 5.864, -0.690]],
  "species": ["Nd", "Nd", "Nd", "Nd", "Nd", "Nd", "Nd", "Nd", "Co", "Co", "Cd"],
  "fractional_positions": [[0.063, 0.336, 0.080], [0.698, 0.397, 0.397], [0.937, 0.664, 0.920], [0.063, 0.080, 0.336], [0.302, 0.603, 0.603], [0.937, 0.920, 0.664], [0.500, 0.752, 0.248], [0.500, 0.248, 0.752], [0.000, 0.291, 0.709], [0.000, 0.709, 0.291], [0.500, 0.000, 0.000]],
  "total_energy_ev_per_atom": -4.8492
}

# 5
{
  "formula": "Nd11Cd9Co4",
  "functional": "GGA-PBE",
  "state": "optimized geometry",
  "lattice_angstrom": [[3.724, 0.000, 0.000], [0.000, 12.271, -5.167], [0.000, 0.071, 13.314]],
  "species": ["Cd", "Cd", "Cd", "Cd", "Cd", "Cd", "Cd", "Cd", "Cd", "Nd", "Nd", "Nd", "Nd", "Nd", "Nd", "Nd", "Nd", "Nd", "Nd", "Nd", "Co", "Co", "Co", "Co"],
  "fractional_positions": [[0.500, 0.365, 0.840], [0.500, 0.080, 0.219], [0.500, 0.920, 0.781], [0.500, 0.840, 0.365], [0.500, 0.160, 0.635], [0.500, 0.500, 0.500], [0.500, 0.781, 0.920], [0.500, 0.219, 0.080], [0.500, 0.635, 0.160], [0.000, 0.626, 0.374], [0.000, 0.374, 0.626], [0.000, 0.160, 0.840], [0.000, 0.000, 0.000], [0.000, 0.086, 0.418], [0.000, 0.914, 0.582], [0.000, 0.582, 0.914], [0.000, 0.418, 0.086], [0.000, 0.313, 0.313], [0.000, 0.840, 0.160], [0.000, 0.687, 0.687], [0.500, 0.547, 0.749], [0.500, 0.251, 0.453], [0.500, 0.453, 0.251], [0.500, 0.749, 0.547]],
  "total_energy_ev_per_atom": -3.9643
}

# 6
{
  "formula": "Nd4CdCo",
  "functional": "GGA-PBE",
  "state": "optimized geometry",
  "lattice_angstrom": [[-3.999, 8.336, -3.288], [-8.716, 2.940, 3.415], [-0.574, 7.824, 5.894]],
  "species": ["Co", "Co", "Co", "Co", "Nd", "Nd", "Nd", "Nd", "Nd", "Nd", "Nd", "Nd", "Nd", "Nd", "Nd", "Nd", "Nd", "Nd", "Nd", "Nd", "Cd", "Cd", "Cd", "Cd"],
  "fractional_positions": [[0.609, 0.173, 0.609], [0.609, 0.609, 0.609], [0.609, 0.609, 0.173], [0.173, 0.609, 0.609], [0.811, 0.189, 0.189], [0.811, 0.811, 0.189], [0.189, 0.189, 0.811], [0.189, 0.811, 0.811], [0.939, 0.939, 0.561], [0.561, 0.939, 0.939], [0.403, 0.790, 0.403], [0.939, 0.561, 0.939], [0.939, 0.561, 0.561], [0.790, 0.403, 0.403], [0.403, 0.403, 0.790], [0.561, 0.561, 0.939], [0.811, 0.189, 0.811], [0.189, 0.811, 0.189], [0.403, 0.403, 0.403], [0.561, 0.939, 0.561], [0.170, 0.489, 0.170], [0.170, 0.170, 0.489], [0.489, 0.170, 0.170], [0.170, 0.170, 0.170]],
  "total_energy_ev_per_atom": -4.7019
}

# 7
{
  "formula": "Nd4CdCo",
  "functional": "GGA-PBE",
  "state": "optimized geometry",
  "lattice_angstrom": [[6.083, -0.394, 0.000], [-2.034, 8.276, 0.000], [-2.025, -3.941, 7.003]],
  "species": ["Cd", "Cd", "Nd", "Nd", "Nd", "Nd", "Nd", "Nd", "Nd", "Nd", "Co", "Co"],
  "fractional_positions": [[0.630, 0.380, 0.760], [0.370, 0.620, 0.240], [0.778, 0.703, 0.634], [0.687, 0.335, 0.138], [0.643, 0.069, 0.366], [0.357, 0.931, 0.634], [0.313, 0.665, 0.862], [0.951, 0.804, 0.138], [0.222, 0.297, 0.366], [0.049, 0.196, 0.862], [0.752, 0.002, 0.005], [0.248, 0.998, 0.995]],
  "total_energy_ev_per_atom": -4.6101
}

# 8
{
  "formula": "Nd2CdCo",
  "functional": "GGA-PBE",
  "state": "optimized geometry",
  "lattice_angstrom": [[-1.580, 2.658, -1.729], [0.958, -1.442, -3.091], [-6.760, -4.128, -0.170]],
  "species": ["Co", "Nd", "Nd", "Cd"],
  "fractional_positions": [[0.500, 0.500, 0.000], [0.000, 0.000, 0.214], [0.000, 0.000, 0.786], [0.500, 0.500, 0.500]],
  "total_energy_ev_per_atom": -4.5251
}